--- a ---
Mg2Cd4Ag3 PBE optimized geometry; total magnetic moment = 0.000 μB/f.u.; space-group type = C2/m (12)
1.0
-0.254 3.546 2.309
-6.652 -0.359 -0.181
2.379 -5.101 4.206
Ag Cd Mg
3 4 2
direct
0.884 0.321 0.767
0.116 0.679 0.233
0.000 0.000 0.000
0.553 0.337 0.107
0.222 0.329 0.443
0.447 0.663 0.893
0.778 0.671 0.557
0.340 0.006 0.679
0.660 0.994 0.321


--- b ---
Mg2Cd4Ag3 PBE optimized geometry; total magnetic moment = 0.000 μB/f.u.; space-group type = C2/c (15)
1.0
5.171 0.082 0.438
0.602 8.065 2.877
0.255 -0.407 8.570
Cd Ag Mg
8 6 4
direct
0.143 0.598 0.850
0.357 0.150 0.402
0.978 0.185 0.922
0.857 0.402 0.150
0.478 0.922 0.185
0.022 0.815 0.078
0.643 0.850 0.598
0.522 0.078 0.815
0.250 0.389 0.611
0.750 0.611 0.389
0.416 0.292 0.043
0.584 0.708 0.957
0.916 0.043 0.292
0.084 0.957 0.708
0.182 0.738 0.488
0.818 0.262 0.512
0.318 0.512 0.262
0.682 0.488 0.738


What should be chosen as the least stable of them? Choose b.


--- a ---
MgCd2Ag8 PBE optimized geometry; total magnetic moment = 0.000 μB/f.u.; space-group type = Immm (71)
1.0
-1.405 -3.266 -1.644
3.089 2.562 -7.729
4.550 -2.566 5.875
Ag Cd Mg
8 2 1
direct
0.828 0.828 0.655
0.000 0.239 0.000
0.000 0.761 0.000
0.334 0.586 0.668
0.666 0.918 0.333
0.666 0.414 0.332
0.334 0.082 0.667
0.172 0.172 0.345
0.143 0.643 0.285
0.857 0.357 0.715
0.500 0.000 0.000


--- b ---
MgCd2Ag8 PBE optimized geometry; total magnetic moment = 0.000 μB/f.u.; space-group type = C2/m (12)
1.0
4.914 1.366 0.000
2.412 7.363 0.000
1.206 3.682 6.568
Ag Cd Mg
8 2 1
direct
0.127 0.677 0.226
0.500 0.789 0.422
0.873 0.323 0.774
0.500 0.211 0.578
0.873 0.097 0.226
0.127 0.903 0.774
0.317 0.412 0.000
0.683 0.588 0.000
0.000 0.307 0.385
0.000 0.693 0.615
0.500 0.000 0.000


What should be chosen as the least stable of them? Choose b.


--- a ---
Mg4CdAg PBE optimized geometry; total magnetic moment = 0.000 μB/f.u.; space-group type = F-43m (216)
1.0
0.000 4.033 4.033
4.033 0.000 4.033
4.033 4.033 0.000
Mg Ag Cd
4 1 1
direct
0.375 0.375 0.875
0.375 0.375 0.375
0.875 0.375 0.375
0.375 0.875 0.375
0.750 0.750 0.750
0.000 0.000 0.000


--- b ---
Mg4CdAg PBE optimized geometry; total magnetic moment = 0.000 μB/f.u.; space-group type = C2/m (12)
1.0
-4.348 -3.854 2.265
5.818 1.622 1.553
2.713 7.324 0.393
Mg Ag Cd
4 1 1
direct
0.343 0.156 0.500
0.342 0.656 0.999
0.658 0.344 0.001
0.657 0.844 0.500
0.000 0.000 0.000
0.000 0.500 0.500


What should be chosen as the least stable of them? Choose a.


--- a ---
Mg2Cd6Ag PBE optimized geometry; total magnetic moment = 0.000 μB/f.u.; space-group type = C2/m (12)
1.0
4.340 0.000 0.519
0.000 6.840 0.000
-0.805 -3.420 6.925
Mg Cd Ag
2 6 1
direct
0.500 0.780 0.561
0.500 0.220 0.439
0.001 0.564 0.704
0.500 0.281 0.000
0.999 0.436 0.296
0.500 0.719 0.000
0.999 0.860 0.296
0.001 0.140 0.704
0.000 0.000 0.000


--- b ---
Mg2Cd6Ag PBE optimized geometry; total magnetic moment = 0.000 μB/f.u.; space-group type = C2/m (12)
1.0
4.250 0.000 0.000
-2.125 5.096 -1.441
0.000 -0.232 9.006
Cd Mg Ag
6 2 1
direct
0.328 0.656 0.942
0.672 0.344 0.058
0.332 0.664 0.610
0.002 0.004 0.169
0.998 0.996 0.831
0.668 0.336 0.390
0.653 0.306 0.712
0.347 0.694 0.288
0.000 0.000 0.500


What should be chosen as the least stable of them? Choose a.


--- a ---
Mg4Cd3Ag4 PBE optimized geometry; total magnetic moment = 0.000 μB/f.u.; space-group type = P-1 (2)
1.0
-2.458 -0.547 -2.247
2.400 0.140 -2.658
2.667 -17.247 3.887
Mg Ag Cd
4 4 3
direct
0.549 0.551 0.100
0.451 0.449 0.900
0.188 0.190 0.377
0.812 0.810 0.623
0.908 0.907 0.815
0.728 0.728 0.456
0.272 0.272 0.544
0.092 0.093 0.185
0.638 0.640 0.277
0.000 0.000 0.000
0.362 0.360 0.723


--- b ---
Mg4Cd3Ag4 PBE optimized geometry; total magnetic moment = 0.000 μB/f.u.; space-group type = Immm (71)
1.0
3.058 0.000 0.000
0.000 8.650 0.000
-1.529 -4.325 8.527
Mg Ag Cd
4 4 3
direct
0.661 0.463 0.321
0.661 0.858 0.321
0.339 0.142 0.679
0.339 0.537 0.679
0.744 0.244 0.488
0.500 0.218 0.000
0.500 0.782 0.000
0.256 0.756 0.512
0.000 0.500 0.000
0.902 0.902 0.804
0.098 0.098 0.196


What should be chosen as the least stable of them? Choose b.


--- a ---
Mg2Cd2Ag PBE optimized geometry; total magnetic moment = 0.000 μB/f.u.; space-group type = P4/mbm (127)
1.0
8.526 0.000 0.000
0.000 8.526 0.000
0.000 0.000 3.007
Cd Mg Ag
4 4 2
direct
0.674 0.826 0.500
0.174 0.674 0.500
0.326 0.174 0.500
0.826 0.326 0.500
0.874 0.626 0.000
0.374 0.874 0.000
0.626 0.126 0.000
0.126 0.374 0.000
0.000 0.000 0.000
0.500 0.500 0.000


--- b ---
Mg2Cd2Ag PBE optimized geometry; total magnetic moment = 0.000 μB/f.u.; space-group type = Cmmm (65)
1.0
-0.333 2.814 1.303
-3.900 0.616 -2.326
-5.709 -2.688 4.347
Mg Cd Ag
2 2 1
direct
0.500 0.397 0.207
0.500 0.603 0.793
0.000 0.193 0.613
0.000 0.807 0.387
0.000 0.000 0.000


What should be chosen as the least stable of them? Choose a.